1.
Entry from the Alexandria database: crystalline Tb7Nd3Tm2 at its relaxed geometry (PBE).

Calculated values
space-group type: No. 166
energy of formation from the pure elements: 0.286 eV per atom
total magnetic moment: 0.0 μB/cell
energy above the lowest structure with this stoichiometry: 2.38 eV/f.u.

a b c (Å): 11.9429 11.9429 11.9429
angles (deg): 31.63 31.63 31.63
Last column: nearest neighbours and their distance in Å.
Fractional positions:
1 Tb 0.0000 0.0000 0.0000  6 Tb 3.41, 6 Nd 3.78
2 Tb 0.0839 0.0839 0.5821  5 Tb 3.24-3.41, 2 Tm 3.39-3.40
3 Tb 0.0839 0.5821 0.0839  5 Tb 3.24-3.41, 2 Tm 3.39-3.40
4 Tb 0.4179 0.9161 0.9161  5 Tb 3.24-3.41, 2 Tm 3.39-3.40
5 Tb 0.5821 0.0839 0.0839  5 Tb 3.24-3.41, 2 Tm 3.39-3.40
6 Tb 0.9161 0.4179 0.9161  5 Tb 3.24-3.41, 2 Tm 3.39-3.40
7 Tb 0.9161 0.9161 0.4179  5 Tb 3.24-3.41, 2 Tm 3.39-3.40
8 Nd 0.3443 0.3443 0.3443  12 Tb 3.71-4.08, 3 Nd 3.83
9 Nd 0.5000 0.5000 0.5000  6 Tm 3.76
10 Nd 0.6557 0.6557 0.6557  12 Tb 3.71-4.08, 3 Nd 3.83
11 Tm 0.1667 0.1667 0.1667  6 Tb 3.39-3.40, 3 Nd 3.76, 3 Tm 3.76
12 Tm 0.8333 0.8333 0.8333  6 Tb 3.39-3.40, 3 Nd 3.76, 3 Tm 3.76

***

2.
Entry from the Alexandria database: crystalline Tb12Nd5Tm2 at its relaxed geometry (PBE).

Calculated values
space-group type: No. 12
energy of formation from the pure elements: 0.210 eV per atom
total magnetic moment: 0.0 μB/cell

a b c (Å): 10.0297 10.0297 8.6975
angles (deg): 112.83 112.83 53.99
Last column: nearest neighbours and their distance in Å.
Fractional positions:
1 Tb 0.0406 0.6686 0.0955  1 Tm 3.31, 4 Tb 3.32-3.60, 2 Nd 3.48-3.65
2 Tb 0.0464 0.0464 0.1821  1 Tb 2.87, 1 Nd 3.13
3 Tb 0.1462 0.5978 0.5434  2 Nd 3.19-3.52, 1 Tb 3.32
4 Tb 0.3314 0.9594 0.9045  1 Tm 3.31, 4 Tb 3.32-3.60, 2 Nd 3.48-3.65
5 Tb 0.4022 0.8538 0.4566  2 Nd 3.19-3.52, 1 Tb 3.32
6 Tb 0.4413 0.4413 0.2840  7 Tb 3.32-3.64, 2 Tm 3.46, 1 Nd 3.66
7 Tb 0.5587 0.5587 0.7160  7 Tb 3.32-3.64, 2 Tm 3.46, 1 Nd 3.66
8 Tb 0.5978 0.1462 0.5434  2 Nd 3.19-3.52, 1 Tb 3.32
9 Tb 0.6686 0.0406 0.0955  1 Tm 3.31, 4 Tb 3.32-3.60, 2 Nd 3.48-3.65
10 Tb 0.8538 0.4022 0.4566  2 Nd 3.19-3.52, 1 Tb 3.32
11 Tb 0.9536 0.9536 0.8179  1 Tb 2.87, 1 Nd 3.13
12 Tb 0.9594 0.3314 0.9045  1 Tm 3.31, 4 Tb 3.32-3.60, 2 Nd 3.48-3.65
13 Nd 0.0000 0.0000 0.5000  6 Tb 3.21-3.52
14 Nd 0.2381 0.2381 0.2916  5 Tb 3.13-3.48
15 Nd 0.2912 0.2912 0.7795  9 Tb 3.62-4.02, 2 Tm 3.72, 1 Nd 3.92
16 Nd 0.7088 0.7088 0.2205  9 Tb 3.62-4.02, 2 Tm 3.72, 1 Nd 3.92
17 Nd 0.7619 0.7619 0.7084  5 Tb 3.13-3.48
18 Tm 0.3270 0.6730 0.0000  1 Tm 3.15, 6 Tb 3.30-3.46
19 Tm 0.6730 0.3270 0.0000  1 Tm 3.15, 6 Tb 3.30-3.46

***

3.
Entry from the Alexandria database: crystalline Tb2Nd6Tm5 at its relaxed geometry (PBE).

Calculated values
space-group type: No. 55
energy of formation from the pure elements: 0.104 eV per atom
total magnetic moment: 0.0 μB/cell

a b c (Å): 11.7046 20.4562 3.6201
angles (deg): 90.00 90.00 90.00
Last column: nearest neighbours and their distance in Å.
Fractional positions:
1 Tb 0.1641 0.2118 0.0000  4 Nd 3.36-3.76, 6 Tm 3.54-3.69, 2 Tb 3.62
2 Tb 0.3359 0.7118 0.0000  4 Nd 3.36-3.76, 6 Tm 3.54-3.69, 2 Tb 3.62
3 Tb 0.6641 0.2882 0.0000  4 Nd 3.36-3.76, 6 Tm 3.54-3.69, 2 Tb 3.62
4 Tb 0.8359 0.7882 0.0000  4 Nd 3.36-3.76, 6 Tm 3.54-3.69, 2 Tb 3.62
5 Nd 0.0590 0.9205 0.0000  6 Tm 3.52-3.69, 5 Nd 3.53-3.77, 1 Tb 3.76
6 Nd 0.0831 0.6337 0.0000  1 Tb 3.36, 6 Tm 3.41-3.51, 4 Nd 3.50-3.62
7 Nd 0.1732 0.3682 0.5000  2 Tm 3.32-3.37, 4 Nd 3.50-3.62, 2 Tb 3.68
8 Nd 0.3268 0.8682 0.5000  2 Tm 3.32-3.37, 4 Nd 3.50-3.62, 2 Tb 3.68
9 Nd 0.4169 0.1337 0.0000  1 Tb 3.36, 6 Tm 3.41-3.51, 4 Nd 3.50-3.62
10 Nd 0.4410 0.4205 0.0000  6 Tm 3.52-3.69, 5 Nd 3.53-3.77, 1 Tb 3.76
11 Nd 0.5590 0.5795 0.0000  6 Tm 3.52-3.69, 5 Nd 3.53-3.77, 1 Tb 3.76
12 Nd 0.5831 0.8663 0.0000  1 Tb 3.36, 6 Tm 3.41-3.51, 4 Nd 3.50-3.62
13 Nd 0.6732 0.1318 0.5000  2 Tm 3.32-3.37, 4 Nd 3.50-3.62, 2 Tb 3.68
14 Nd 0.8268 0.6318 0.5000  2 Tm 3.32-3.37, 4 Nd 3.50-3.62, 2 Tb 3.68
15 Nd 0.9169 0.3663 0.0000  1 Tb 3.36, 6 Tm 3.41-3.51, 4 Nd 3.50-3.62
16 Nd 0.9410 0.0795 0.0000  6 Tm 3.52-3.69, 5 Nd 3.53-3.77, 1 Tb 3.76
17 Tm 0.0000 0.5000 0.5000  6 Nd 3.37-3.42, 4 Tm 3.62-3.71
18 Tm 0.0951 0.7747 0.5000  5 Nd 3.32-3.52, 4 Tb 3.54-3.59, 2 Tm 3.62
19 Tm 0.1989 0.0558 0.5000  6 Nd 3.51-3.69, 3 Tm 3.62-3.71, 2 Tb 3.69
20 Tm 0.3011 0.5558 0.5000  6 Nd 3.51-3.69, 3 Tm 3.62-3.71, 2 Tb 3.69
21 Tm 0.4049 0.2747 0.5000  5 Nd 3.32-3.52, 4 Tb 3.54-3.59, 2 Tm 3.62
22 Tm 0.5000 0.0000 0.5000  6 Nd 3.37-3.42, 4 Tm 3.62-3.71
23 Tm 0.5951 0.7253 0.5000  5 Nd 3.32-3.52, 4 Tb 3.54-3.59, 2 Tm 3.62
24 Tm 0.6989 0.4442 0.5000  6 Nd 3.51-3.69, 3 Tm 3.62-3.71, 2 Tb 3.69
25 Tm 0.8011 0.9442 0.5000  6 Nd 3.51-3.69, 3 Tm 3.62-3.71, 2 Tb 3.69
26 Tm 0.9049 0.2253 0.5000  5 Nd 3.32-3.52, 4 Tb 3.54-3.59, 2 Tm 3.62

***

4.
Entry from the Alexandria database: crystalline Tb3Nd2Tm4 at its relaxed geometry (PBE).

Calculated values
space-group type: No. 15
energy of formation from the pure elements: 0.099 eV per atom
total magnetic moment: 0.0 μB/cell
energy above the lowest structure with this stoichiometry: 0.69 eV/f.u.

a b c (Å): 10.0890 10.0890 6.0155
angles (deg): 95.68 95.68 70.02
Last column: nearest neighbours and their distance in Å.
Fractional positions:
1 Tb 0.1487 0.8513 0.7500  2 Tm 3.41, 6 Nd 3.46-3.54, 2 Tb 3.78
2 Tb 0.1861 0.4872 0.9120  1 Nd 3.34, 8 Tm 3.37-3.73
3 Tb 0.4872 0.1861 0.4120  1 Nd 3.34, 8 Tm 3.37-3.73
4 Tb 0.5128 0.8139 0.5880  1 Nd 3.34, 8 Tm 3.37-3.73
5 Tb 0.8139 0.5128 0.0880  1 Nd 3.34, 8 Tm 3.37-3.73
6 Tb 0.8513 0.1487 0.2500  2 Tm 3.41, 6 Nd 3.46-3.54, 2 Tb 3.78
7 Nd 0.0100 0.7764 0.2222  4 Tb 3.34-3.54, 3 Tm 3.37-3.53, 1 Nd 3.51
8 Nd 0.2236 0.9900 0.2778  4 Tb 3.34-3.54, 3 Tm 3.37-3.53, 1 Nd 3.51
9 Nd 0.7764 0.0100 0.7222  4 Tb 3.34-3.54, 3 Tm 3.37-3.53, 1 Nd 3.51
10 Nd 0.9900 0.2236 0.7778  4 Tb 3.34-3.54, 3 Tm 3.37-3.53, 1 Nd 3.51
11 Tm 0.1231 0.3439 0.3689  2 Nd 3.37-3.42, 4 Tb 3.37-3.53, 2 Tm 3.38-3.61
12 Tm 0.3312 0.5472 0.4567  3 Tm 3.21-3.38, 4 Tb 3.41-3.54, 1 Nd 3.53
13 Tm 0.3439 0.1231 0.8689  2 Nd 3.37-3.42, 4 Tb 3.37-3.53, 2 Tm 3.38-3.61
14 Tm 0.4528 0.6688 0.0433  3 Tm 3.21-3.38, 4 Tb 3.41-3.54, 1 Nd 3.53
15 Tm 0.5472 0.3312 0.9567  3 Tm 3.21-3.38, 4 Tb 3.41-3.54, 1 Nd 3.53
16 Tm 0.6561 0.8769 0.1311  2 Nd 3.37-3.42, 4 Tb 3.37-3.53, 2 Tm 3.38-3.61
17 Tm 0.6688 0.4528 0.5433  3 Tm 3.21-3.38, 4 Tb 3.41-3.54, 1 Nd 3.53
18 Tm 0.8769 0.6561 0.6311  2 Nd 3.37-3.42, 4 Tb 3.37-3.53, 2 Tm 3.38-3.61

***

5.
Entry from the Alexandria database: crystalline Tb5NdTm3 at its relaxed geometry (PBE).

Calculated values
space-group type: No. 15
energy of formation from the pure elements: 0.189 eV per atom
total magnetic moment: 0.0 μB/cell
energy above the lowest structure with this stoichiometry: 0.00 eV/f.u.

a b c (Å): 8.7614 8.7614 11.3484
angles (deg): 106.87 106.87 44.80
Last column: nearest neighbours and their distance in Å.
Fractional positions:
1 Tb 0.1034 0.1140 0.0461  5 Tb 3.35-3.63, 4 Tm 3.46-3.70, 1 Nd 3.72
2 Tb 0.1140 0.1034 0.5461  5 Tb 3.35-3.63, 4 Tm 3.46-3.70, 1 Nd 3.72
3 Tb 0.1818 0.8182 0.7500  1 Nd 3.02, 2 Tb 3.06
4 Tb 0.2090 0.4404 0.6285  1 Tb 3.06, 2 Tm 3.32-3.34
5 Tb 0.4404 0.2090 0.1285  1 Tb 3.06, 2 Tm 3.32-3.34
6 Tb 0.5596 0.7910 0.8715  1 Tb 3.06, 2 Tm 3.32-3.34
7 Tb 0.7910 0.5596 0.3715  1 Tb 3.06, 2 Tm 3.32-3.34
8 Tb 0.8182 0.1818 0.2500  1 Nd 3.02, 2 Tb 3.06
9 Tb 0.8860 0.8966 0.4539  5 Tb 3.35-3.63, 4 Tm 3.46-3.70, 1 Nd 3.72
10 Tb 0.8966 0.8860 0.9539  5 Tb 3.35-3.63, 4 Tm 3.46-3.70, 1 Nd 3.72
11 Nd 0.2711 0.7289 0.2500  1 Tb 3.02, 2 Tm 3.22
12 Nd 0.7289 0.2711 0.7500  1 Tb 3.02, 2 Tm 3.22
13 Tm 0.1198 0.3562 0.8579  7 Tb 3.32-3.60, 1 Tm 3.59
14 Tm 0.3562 0.1198 0.3579  7 Tb 3.32-3.60, 1 Tm 3.59
15 Tm 0.5000 0.5000 0.0000  2 Nd 3.22, 2 Tb 3.54
16 Tm 0.5000 0.5000 0.5000  2 Nd 3.22, 2 Tb 3.54
17 Tm 0.6438 0.8802 0.6421  7 Tb 3.32-3.60, 1 Tm 3.59
18 Tm 0.8802 0.6438 0.1421  7 Tb 3.32-3.60, 1 Tm 3.59

***

6.
Entry from the Alexandria database: crystalline Tb3Nd2Tm4 at its relaxed geometry (PBE).

Calculated values
space-group type: No. 12
energy of formation from the pure elements: 0.023 eV per atom
total magnetic moment: 0.0 μB/cell
energy above the lowest structure with this stoichiometry: 0.00 eV/f.u.

a b c (Å): 7.9540 7.9540 7.9455
angles (deg): 107.37 107.37 36.84
Last column: nearest neighbours and their distance in Å.
Fractional positions:
1 Tb 0.0000 0.0000 0.0000  4 Nd 3.54, 6 Tm 3.56-3.57, 2 Tb 3.57
2 Tb 0.1128 0.1128 0.6669  6 Tm 3.53-3.56, 2 Tb 3.57-3.60, 4 Nd 3.57-3.58
3 Tb 0.8872 0.8872 0.3331  6 Tm 3.53-3.56, 2 Tb 3.57-3.60, 4 Nd 3.57-3.58
4 Nd 0.4438 0.4438 0.6693  6 Tb 3.54-3.58, 5 Tm 3.55-3.57, 1 Nd 3.60
5 Nd 0.5562 0.5562 0.3307  6 Tb 3.54-3.58, 5 Tm 3.55-3.57, 1 Nd 3.60
6 Tm 0.2226 0.2226 0.3314  5 Tm 3.51-3.58, 4 Tb 3.53-3.56, 3 Nd 3.55-3.57
7 Tm 0.3320 0.3320 0.0013  5 Tm 3.51-3.55, 5 Tb 3.53-3.57, 2 Nd 3.55-3.57
8 Tm 0.6680 0.6680 0.9987  5 Tm 3.51-3.55, 5 Tb 3.53-3.57, 2 Nd 3.55-3.57
9 Tm 0.7774 0.7774 0.6686  5 Tm 3.51-3.58, 4 Tb 3.53-3.56, 3 Nd 3.55-3.57